No. 1
Entry from the Alexandria database: a geometry-optimized Sr2Ca8Zn structure (PBE-GGA).

Output
- Energy of formation: 11 meV per atom

Geometry as POSCAR:
```
Sr2Ca8Zn
1.0
-1.707 5.601 1.494
-7.026 -1.478 -2.487
-2.756 -6.215 7.930
Sr Ca Zn
2 8 1
direct
0.785 0.655 0.569 Sr
0.215 0.345 0.431 Sr
0.417 0.388 0.834 Ca
0.640 0.112 0.281 Ca
0.836 0.156 0.671 Ca
0.977 0.764 0.954 Ca
0.164 0.844 0.329 Ca
0.360 0.888 0.719 Ca
0.583 0.612 0.166 Ca
0.023 0.236 0.046 Ca
0.500 0.000 0.000 Zn
```


No. 2
Entry from the Alexandria database: a geometry-optimized Sm4HoHg structure (PBE-GGA).

Output
- Energy of formation: -144 meV per atom
- Offset from the most stable computed form: 0 kJ/mol of formula units

Geometry as POSCAR:
```
Sm4HoHg
1.0
-3.095 0.320 1.892
-1.907 -0.906 -2.967
0.814 -13.621 3.638
Sm Ho Hg
4 1 1
direct
0.500 0.500 0.176 Sm
0.000 0.000 0.644 Sm
0.000 0.000 0.356 Sm
0.500 0.500 0.824 Sm
0.000 0.000 0.000 Ho
0.500 0.500 0.500 Hg
```